(1)
# PmTlPb

An optimized crystal structure of PmTlPb (PBE, OQMD).

```
PmTlPb
1.0
0.0000 3.6736 3.6736
3.6736 0.0000 3.6736
3.6736 3.6736 0.0000
Pm Tl Pb
1 1 1
direct
0.0000 0.0000 0.0000
0.7500 0.7500 0.7500
0.5000 0.5000 0.5000
```

Computed properties:
polymorph energy (0 for the lowest one)	0	meV/atom
total magnetic moment	0.0006	μB per atom
calculated volume	99.15	Å³/cell
space group	F-43m, No. 216


(2)
# PmTmPb

An optimized crystal structure of PmTmPb (PBE, OQMD).

```
PmTmPb
1.0
0.0000 3.6778 3.6778
3.6778 0.0000 3.6778
3.6778 3.6778 0.0000
Pm Tm Pb
1 1 1
direct
0.0000 0.0000 0.0000
0.5000 0.5000 0.5000
0.2500 0.2500 0.2500
```

Computed properties:
polymorph energy (0 for the lowest one)	0	meV/atom
total magnetic moment	0.0125	μB per atom
calculated volume	99.49	Å³/cell
space group	F-43m, No. 216